{"formula": "Pm8Nd4Er", "functional": "PBE", "state": "relaxed", "energy_ev_per_atom": -4.26, "e_form_mev_per_atom": 481.0, "lattice_angstrom": [[5.636, 3.254, 4.509], [-5.636, 3.254, 4.509], [0.000, -6.508, 4.509]], "species": ["Pm", "Pm", "Pm", "Pm", "Pm", "Pm", "Pm", "Pm", "Nd", "Nd", "Nd", "Nd", "Er"], "frac_coords": [[0.237, 0.237, 0.754], [0.237, 0.754, 0.237], [0.238, 0.238, 0.238], [0.246, 0.763, 0.763], [0.754, 0.237, 0.237], [0.762, 0.762, 0.762], [0.763, 0.246, 0.763], [0.763, 0.763, 0.246], [0.000, 0.000, 0.000], [0.000, 0.500, 0.500], [0.500, 0.000, 0.500], [0.500, 0.500, 0.000], [0.500, 0.500, 0.500]]}

---

{"formula": "NdDy4Tl4", "functional": "PBE", "state": "relaxed", "energy_ev_per_atom": -3.73, "e_form_mev_per_atom": -101.1, "lattice_angstrom": [[7.385, 0.000, 0.000], [0.000, 7.385, 0.000], [0.000, 0.000, 10.456]], "species": ["Nd", "Nd", "Dy", "Dy", "Dy", "Dy", "Dy", "Dy", "Dy", "Dy", "Tl", "Tl", "Tl", "Tl", "Tl", "Tl", "Tl", "Tl"], "frac_coords": [[0.250, 0.750, 0.250], [0.750, 0.250, 0.750], [0.019, 0.250, 0.161], [0.250, 0.019, 0.661], [0.250, 0.481, 0.661], [0.481, 0.250, 0.161], [0.519, 0.750, 0.839], [0.750, 0.519, 0.339], [0.750, 0.981, 0.339], [0.981, 0.750, 0.839], [0.029, 0.250, 0.462], [0.250, 0.029, 0.962], [0.250, 0.471, 0.962], [0.471, 0.250, 0.462], [0.529, 0.750, 0.538], [0.750, 0.529, 0.038], [0.750, 0.971, 0.038], [0.971, 0.750, 0.538]]}

---

{"formula": "Al2ReAs", "functional": "PBE", "state": "relaxed", "energy_ev_per_atom": -6.20, "polymorph_energy_mev_per_atom": 10, "e_form_mev_per_atom": -56.4, "lattice_angstrom": [[3.232, 0.000, 0.000], [0.000, 4.152, 0.000], [-1.609, 0.000, 4.796]], "species": ["Al", "Al", "Re", "As"], "frac_coords": [[0.000, 0.000, 0.000], [0.316, 0.500, 0.634], [0.726, 0.000, 0.453], [0.581, 0.500, 0.164]]}

---

{"formula": "HoSiNi", "functional": "PBE", "state": "relaxed", "energy_ev_per_atom": -6.05, "formation_energy_uncorrected_ev_per_atom": -0.7849, "lattice_angstrom": [[4.040, 0.000, 0.000], [-2.020, 3.499, 0.000], [0.000, 0.000, 3.773]], "species": ["Ho", "Si", "Ni"], "frac_coords": [[0.000, 0.000, 0.000], [0.667, 0.333, 0.500], [0.333, 0.667, 0.500]]}

---

Which formula does entry 1 have? Pm8Nd4Er